The following is a DFT calculation (PBE) of BeTe after structural relaxation.

The space group is Pmmn (No. 59, origin choice 2) and the conventional cell measures 3.997, 12.343 and 6.022 Å, with angles of 90.00, 90.00 and 90.00 degrees. Symmetry generates all atoms from Be at (0.250, 0.103, 0.075), Be at (0.250, 0.750, 0.427), Te at (0.250, 0.250, 0.343) and Te at (0.250, 0.597, 0.162).

For the total energy, the calculation gives -3.691 eV/atom. The crystal system is orthorhombic. The volume is 24.76 Å³/atom. The value obtained for the distance to the lowest polymorph of the same formula is 0.22 eV/f.u. As for the size of the total moment: 0.00 μB/cell. The value obtained for the raw formation energy is -0.2569 eV per atom.


The following is a DFT calculation (PBE) of BeTe after structural relaxation.

The space group is P-62m (No. 189) and the conventional cell measures 6.4160, 6.4160 and 3.5023 Å, with angles of 90.00, 90.00 and 120.00 degrees. Symmetry generates all atoms from Be at (0.0000, 0.3763, 0.0000), Te at (0.0000, 0.0000, 0.0000) and Te at (0.3333, 0.6667, 0.5000).

For the total energy, the calculation gives -3.292 eV/atom. The crystal system is hexagonal. The volume is 20.81 Å³/atom. The value obtained for the distance to the lowest polymorph of the same formula is 1.01 eV/f.u. As for the size of the total moment: 0.00 μB/cell. The value obtained for the raw formation energy is 0.1419 eV per atom.


The following is a DFT calculation (PBE) of Be4Te after structural relaxation.

The space group is I4/m (No. 87) and the conventional cell measures 5.968, 5.968 and 3.581 Å, with angles of 90.00, 90.00 and 90.00 degrees. Symmetry generates all atoms from Be at (0.069, 0.339, 0.000) and Te at (0.000, 0.000, 0.500).

For the total energy, the calculation gives -2.993 eV/atom. The crystal system is tetragonal. The volume is 12.75 Å³/atom. The value obtained for the distance to the lowest polymorph of the same formula is 0.53 eV/f.u. As for the size of the total moment: 0.00 μB/cell. The value obtained for the raw formation energy is 0.6167 eV per atom.


The following is a DFT calculation (PBE) of BeTe after structural relaxation.

The space group is Fddd (No. 70, origin choice 2) and the conventional cell measures 8.323, 10.166 and 10.452 Å, with angles of 90.00, 90.00 and 90.00 degrees. Symmetry generates all atoms from Be at (0.125, 0.256, 0.125) and Te at (0.125, 0.125, 0.323).

For the total energy, the calculation gives -3.599 eV/atom. The crystal system is orthorhombic. The volume is 27.64 Å³/atom. The value obtained for the distance to the lowest polymorph of the same formula is 0.40 eV/f.u. As for the size of the total moment: 0.00 μB/cell. The value obtained for the raw formation energy is -0.1650 eV per atom.


The following is a DFT calculation (PBE) of BeTe after structural relaxation.

The space group is Cm (No. 8) and the conventional cell measures 12.440, 3.751 and 8.589 Å, with angles of 90.00, 116.59 and 90.00 degrees. Symmetry generates all atoms from Be at (0.000, 0.000, 0.000), Be at (0.001, 0.500, 0.189), Be at (0.131, 0.500, 0.857), Te at (0.009, 0.000, 0.729), Te at (0.151, 0.000, 0.295) and Te at (0.336, 0.500, 0.076).

For the total energy, the calculation gives -3.380 eV/atom. The crystal system is monoclinic. The volume is 29.86 Å³/atom. The value obtained for the distance to the lowest polymorph of the same formula is 0.84 eV/f.u. As for the size of the total moment: 0.34 μB/cell. The value obtained for the raw formation energy is 0.0538 eV per atom.


The following is a DFT calculation (PBE) of BeTe4 after structural relaxation.

The space group is I4/m (No. 87) and the conventional cell measures 9.219, 9.219 and 3.463 Å, with angles of 90.00, 90.00 and 90.00 degrees. Symmetry generates all atoms from Be at (0.000, 0.000, 0.000) and Te at (0.098, 0.216, 0.500).

For the total energy, the calculation gives -2.945 eV/atom. The crystal system is tetragonal. The volume is 29.43 Å³/atom. The value obtained for the distance to the lowest polymorph of the same formula is 1.00 eV/f.u. As for the size of the total moment: 0.00 μB/cell. The value obtained for the raw formation energy is 0.3135 eV per atom.